Entry 1:
# Zr2CoCuC, optimized geometry, DFT PBE-GGA
# - total energy (eV/atom) = -7.788
data_Zr2CoCuC
_chemical_formula_sum 'Zr2 Co1 Cu1 C1'
_symmetry_space_group_name_H-M 'P 4/m m m'
_symmetry_Int_Tables_number 123
_symmetry_space_group_name_Hall '-P 4 2'
_cell_length_a 4.576
_cell_length_b 4.576
_cell_length_c 3.630
_cell_angle_alpha 90.00
_cell_angle_beta 90.00
_cell_angle_gamma 90.00
loop_
_atom_site_label
_atom_site_fract_x
_atom_site_fract_y
_atom_site_fract_z
Zr1 0.000 0.500 0.000
Co1 0.000 0.000 0.500
Cu1 0.500 0.500 0.500
C1 0.000 0.000 0.000

Entry 2:
# Dy2Co3C2, optimized geometry, DFT PBE-GGA
# - total energy (eV/atom) = -6.996
data_Dy2Co3C2
_chemical_formula_sum 'Dy4 Co6 C4'
_symmetry_space_group_name_H-M 'C 1 2/m 1'
_symmetry_Int_Tables_number 12
_cell_length_a 9.426
_cell_length_b 3.260
_cell_length_c 6.462
_cell_angle_alpha 90.00
_cell_angle_beta 116.21
_cell_angle_gamma 90.00
loop_
_symmetry_equiv_pos_as_xyz
'x,y,z'
'-x,-y,-z'
'-x,y,-z'
'x,-y,z'
'x+1/2,y+1/2,z'
'-x+1/2,-y+1/2,-z'
'-x+1/2,y+1/2,-z'
'x+1/2,-y+1/2,z'
loop_
_atom_site_label
_atom_site_fract_x
_atom_site_fract_y
_atom_site_fract_z
Dy1 0.129 0.000 0.276
Co1 0.000 0.500 0.500
Co2 0.150 0.500 0.911
C1 0.155 0.000 0.742

Question: Look up the total energy of the first one.
Answer: -7.788 eV/atom